This record from the Alexandria database describes a relaxed structure of Rb2LiTlBr6. The functional is GGA-PBEsol.

Cell lengths 7.6444, 7.6444, 7.6444 Å; angles 60.00, 60.00, 60.00 degrees
Closest atoms and distances in Å follow each position.
Element x y z (fractional)
Tl 0.5000 0.5000 0.5000  6 Br 2.74
Br 0.2470 0.7530 0.2470  1 Li 2.67, 1 Tl 2.74
Br 0.2470 0.2470 0.7530  1 Li 2.67, 1 Tl 2.74
Br 0.7530 0.7530 0.2470  1 Li 2.67, 1 Tl 2.74
Br 0.7530 0.2470 0.2470  1 Li 2.67, 1 Tl 2.74
Br 0.2470 0.7530 0.7530  1 Li 2.67, 1 Tl 2.74
Br 0.7530 0.2470 0.7530  1 Li 2.67, 1 Tl 2.74
Rb 0.2500 0.2500 0.2500  12 Br 3.82
Rb 0.7500 0.7500 0.7500  12 Br 3.82
Li 0.0000 0.0000 0.0000  6 Br 2.67

Output
Raw formation energy in eV/atom: -1.1861
Total magnetic moment in μB per cell: 0.0
Total energy in eV/atom: -2.973